Material: NdMgGa5Pt2
Method: DFT, PBE
State: relaxed

Calculated values
Its calculated total energy is -4.05 eV/atom. As for the formation enthalpy at 0 K: -0.32 eV per atom.

Cell: 4.4945 4.4945 9.9952 Å, 90.00 90.00 90.00°
Closest atoms and distances in Å follow each position.
Space group P4/mmm (No. 123)
Symmetry-distinct sites (fractional):
Nd1 0.0000 0.0000 0.0000 (multiplicity 1)  4 Ga 3.18
Mg1 0.0000 0.0000 0.5000 (multiplicity 1)  8 Ga 2.80
Ga1 0.0000 0.5000 0.3336 (multiplicity 4)  2 Pt 2.47
Ga2 0.5000 0.5000 0.0000 (multiplicity 1)  2 Pt 2.31
Pt1 0.5000 0.5000 0.2314 (multiplicity 2)  5 Ga 2.31-2.47

Material: BaCaTbBiO6
Method: DFT, PBE
State: relaxed

Calculated values
Its energy above the most stable polymorph in this dataset is 103 meV/atom. Its calculated total energy is -6.50 eV/atom. The value obtained for the formation energy without anion corrections is -2204 kJ/mol of formula units.

Cell: 8.6456 8.6456 8.6456 Å, 90.00 90.00 90.00°
Closest atoms and distances in Å follow each position.
Space group F-43m (No. 216)
Symmetry-distinct sites (fractional):
Ba1 0.0000 0.0000 0.0000 (multiplicity 4)  12 O 3.06
Ca1 0.0000 0.0000 0.5000 (multiplicity 4)  12 O 3.06
Tb1 0.2500 0.2500 0.7500 (multiplicity 4)  6 O 2.21
Bi1 0.2500 0.2500 0.2500 (multiplicity 4)  6 O 2.11
O1 0.0062 0.2500 0.2500 (multiplicity 24)  1 Bi 2.11, 1 Tb 2.21

Material: Pm12Er5Pb2
Method: DFT, PBE
State: relaxed

Calculated values
Its calculated total energy is -4.62 eV/atom. As for the formation enthalpy at 0 K: -0.03 eV per atom.

Cell: 15.3526 9.5775 8.5608 Å, 90.00 92.86 90.00°
Closest atoms and distances in Å follow each position.
Space group C2/m (No. 12)
Symmetry-distinct sites (fractional):
Pm1 0.0528 0.0000 0.3140 (multiplicity 4)  7 Pm 3.31-3.65, 2 Pb 3.32, 2 Er 3.33-3.41
Pm2 0.0834 0.5000 0.8812 (multiplicity 4)  5 Pm 3.35-3.59, 2 Pb 3.39, 3 Er 3.45-3.70
Pm3 0.1222 0.1962 0.6492 (multiplicity 8)  4 Pm 3.31-3.59, 4 Er 3.43-3.66, 1 Pb 3.62
Pm4 0.1524 0.3163 0.2319 (multiplicity 8)  1 Pb 3.22, 4 Pm 3.48-3.59
Er1 0.0000 0.5000 0.5000 (multiplicity 2)  10 Pm 3.45-3.79, 2 Er 3.64
Er2 0.1813 0.0000 0.0006 (multiplicity 4)  2 Pb 3.34, 6 Pm 3.41-3.70, 1 Er 3.69
Er3 0.2343 0.5000 0.5879 (multiplicity 4)  8 Pm 3.33-3.69, 2 Er 3.64-3.69
Pb1 0.0000 0.1922 0.0000 (multiplicity 4)  6 Pm 3.22-3.39, 2 Er 3.34

Material: Sr12Hg3Pt5
Method: DFT, PBE
State: relaxed

Calculated values
Its calculated total energy is -3.01 eV/atom. As for the formation enthalpy at 0 K: -0.45 eV per atom.

Cell: 18.5916 18.5916 18.5916 Å, 90.00 90.00 90.00°
Closest atoms and distances in Å follow each position.
Space group Ia-3d (No. 230)
Symmetry-distinct sites (fractional):
Sr1 0.0286 0.0607 0.6481 (multiplicity 96)  2 Pt 2.84-3.02
Hg1 0.0000 0.2500 0.1250 (multiplicity 24)  8 Sr 3.58-3.61
Pt1 0.0000 0.0000 0.0000 (multiplicity 16)  6 Sr 3.02
Pt2 0.0000 0.2500 0.3750 (multiplicity 24)  4 Sr 2.84

Among the records above, which one has the highest calculated total energy?
Sr12Hg3Pt5